No. 1
This record from Alexandria describes an optimized crystal structure of TlCd3Re. The functional is PBE.

## Properties
ΔE_f (meV per atom): 1613
Magnetic moment (μB/f.u.): 4.17
E_tot (eV for the cell shown): -9.5

Unit cell a=5.485 b=5.485 c=5.485 alpha=90.00 beta=90.00 gamma=90.00
Each line ends with the local moment (μB).
Sites, in units of the cell vectors:
Cd (0.000, 0.500, 0.000)  -0.02
Cd (0.500, 0.000, 0.000)  -0.01
Cd (0.000, 0.000, 0.500)  -0.06
Re (0.500, 0.500, 0.500)  3.70
Tl (0.000, 0.000, 0.000)  0.02

---

No. 2
This record from Alexandria describes an optimized crystal structure of TlCdRe2. The functional is PBE.

## Properties
ΔE_f (meV per atom): 852
Magnetic moment (μB/f.u.): 0.00
E_tot (eV for the cell shown): -24.8

Unit cell a=6.414 b=6.414 c=6.414 alpha=154.56 beta=135.31 gamma=52.12
Sites, in units of the cell vectors:
Tl (0.467, 0.467, 0.000)
Cd (0.772, 0.272, 0.500)
Re (0.040, 0.040, 0.000)
Re (0.221, 0.721, 0.500)

---

No. 3
This record from Alexandria describes an optimized crystal structure of TlCdRe2. The functional is PBE.

## Properties
ΔE_f (meV per atom): 1152
Magnetic moment (μB/f.u.): 0.00
E_tot (eV for the cell shown): -23.6

Unit cell a=5.351 b=5.351 c=2.865 alpha=90.00 beta=90.00 gamma=117.66
Sites, in units of the cell vectors:
Re (0.000, 0.000, 0.000)
Re (0.500, 0.500, 0.000)
Tl (0.500, 0.000, 0.500)
Cd (0.000, 0.500, 0.500)

---

No. 4
This record from Alexandria describes an optimized crystal structure of TlCd2Re. The functional is PBE.

## Properties
ΔE_f (meV per atom): 668
Magnetic moment (μB/f.u.): 0.00
E_tot (eV for the cell shown): -14.0

Unit cell a=5.123 b=2.890 c=5.440 alpha=90.01 beta=90.00 gamma=90.00
Sites, in units of the cell vectors:
Cd (0.500, 0.125, 0.293)
Cd (0.000, 0.125, 0.974)
Re (0.000, 0.625, 0.461)
Tl (0.500, 0.625, 0.772)

---

No. 5
This record from Alexandria describes an optimized crystal structure of TlCdRe2. The functional is PBE.

## Properties
ΔE_f (meV per atom): 1169
Magnetic moment (μB/f.u.): 0.00
E_tot (eV for the cell shown): -23.5

Unit cell a=2.792 b=2.792 c=9.413 alpha=90.00 beta=90.00 gamma=90.00
Sites, in units of the cell vectors:
Tl (0.500, 0.500, 0.250)
Cd (0.500, 0.500, 0.750)
Re (0.000, 0.000, 0.508)
Re (0.000, 0.000, 0.992)

---

No. 6
This record from Alexandria describes an optimized crystal structure of TlCd2Re. The functional is PBE.

## Properties
ΔE_f (meV per atom): 610
Magnetic moment (μB/f.u.): 0.00
E_tot (eV for the cell shown): -14.2

Unit cell a=11.006 b=11.006 c=11.006 alpha=15.71 beta=15.71 gamma=15.71
Sites, in units of the cell vectors:
Cd (0.511, 0.511, 0.511)
Cd (0.989, 0.989, 0.989)
Tl (0.750, 0.750, 0.750)
Re (0.250, 0.250, 0.250)

---

No. 7
This record from Alexandria describes an optimized crystal structure of TlCdRe2. The functional is PBE.

## Properties
ΔE_f (meV per atom): 1293
Magnetic moment (μB/f.u.): 0.00
E_tot (eV for the cell shown): -23.0

Unit cell a=4.642 b=4.642 c=4.642 alpha=60.00 beta=60.00 gamma=60.00
Sites, in units of the cell vectors:
Tl (0.500, 0.500, 0.500)
Re (0.750, 0.750, 0.750)
Re (0.250, 0.250, 0.250)
Cd (0.000, 0.000, 0.000)

---

No. 8
This record from Alexandria describes an optimized crystal structure of TlCdRe2. The functional is PBE.

## Properties
ΔE_f (meV per atom): 1577
Magnetic moment (μB/f.u.): 2.33
E_tot (eV for the cell shown): -43.7

Unit cell a=7.718 b=7.718 c=6.089 alpha=50.67 beta=50.67 gamma=90.00
Each line ends with the local moment (μB).
Sites, in units of the cell vectors:
Tl (0.750, 0.250, 0.500)  -0.01
Tl (0.000, 0.000, 0.000)  -0.01
Re (0.629, 0.125, 0.250)  1.03
Re (0.121, 0.625, 0.250)  1.03
Re (0.875, 0.879, 0.750)  1.03
Re (0.375, 0.371, 0.750)  1.03
Cd (0.500, 0.500, 0.000)  -0.01
Cd (0.250, 0.750, 0.500)  -0.01